1.
Density functional theory data (PBE) for an optimized crystal structure of Sc2Al2VNi5.

Crystal system ... tetragonal
Magnetic moment ... 0.000 Bohr magnetons per cell
V ... 283 Å³ per cell
DFT total energy ... -6.186 eV per atom
ΔH_f (0 K) ... -368.7 meV/atom

a b c (Å): 9.432 9.432 3.184
angles (deg): 90.00 90.00 90.00
Space group P4/mbm (No. 127)
Asymmetric unit:
Sc 0.173 0.327 0.000 (multiplicity 4)
Al 0.128 0.628 0.000 (multiplicity 4)
V 0.000 0.000 0.000 (multiplicity 2)
Ni 0.000 0.500 0.500 (multiplicity 2)
Ni 0.047 0.807 0.500 (multiplicity 8)

=====

2.
Density functional theory data (PBE) for an optimized crystal structure of Sc2AlVNi.

Crystal system ... tetragonal
Magnetic moment ... 3.498 Bohr magnetons per cell
V ... 109 Å³ per cell
DFT total energy ... -5.598 eV per atom
ΔH_f (0 K) ... 663.2 meV/atom

a b c (Å): 5.093 5.093 4.196
angles (deg): 90.00 90.00 90.00
Space group P4/mmm (No. 123)
Asymmetric unit:
Sc 0.000 0.500 0.000 (multiplicity 2)
Al 0.000 0.000 0.000 (multiplicity 1)
V 0.500 0.500 0.500 (multiplicity 1)
Ni 0.000 0.000 0.500 (multiplicity 1)

=====

3.
Density functional theory data (PBE) for an optimized crystal structure of Y2ScAlNi.

Crystal system ... tetragonal
Magnetic moment ... 1.700 Bohr magnetons per cell
V ... 132 Å³ per cell
DFT total energy ... -5.412 eV per atom
ΔH_f (0 K) ... 344.3 meV/atom

a b c (Å): 5.536 5.536 4.323
angles (deg): 90.00 90.00 90.00
Space group P4/mmm (No. 123)
Asymmetric unit:
Y 0.000 0.500 0.000 (multiplicity 2)
Sc 0.000 0.000 0.500 (multiplicity 1)
Al 0.500 0.500 0.000 (multiplicity 1)
Ni 0.500 0.500 0.500 (multiplicity 1)

=====

Question: Among the records above, which one has the highest V?
Answer: Sc2Al2VNi5

=====

Question: Which value of V does entry 2 give?
Answer: 109 Å³ per cell